(1)
Li2ZrI8 PBE-GGA relaxed; formation energy from raw total energies = -0.8052 eV per atom; M_tot = 0.00 μB/f.u.; total energy = -3.0577 eV per atom; crystal system = monoclinic
1.0
7.1186 -0.3579 -1.6155
-2.2028 8.5595 -1.0704
-0.3416 0.7235 8.8669
Li I Zr
2 8 1
Cartesian
4.4110 1.4633 0.3277 Li
0.1631 7.4617 5.8533 Li
1.7910 1.9849 1.2298 I
3.6869 7.8135 -0.1221 I
-0.3772 6.4350 -0.4480 I
4.9513 2.4900 6.6290 I
-0.0245 5.2103 4.1131 I
4.5987 3.7147 2.0679 I
0.8873 1.1115 6.3031 I
2.7832 6.9401 4.9512 I
0.0000 0.0000 0.0000 Zr

=====

(2)
ThI2 PBE-GGA relaxed; formation energy from raw total energies = -1.0439 eV per atom; M_tot = 0.00 μB/f.u.; total energy = -4.5506 eV per atom; crystal system = hexagonal
1.0
-2.9020 -0.9034 -2.5467
1.6559 -2.8459 2.2097
-23.6362 5.6135 24.9422
I Th
8 4
Cartesian
-19.2664 4.5757 20.3310 I
-16.1879 3.8446 17.0823 I
-7.4483 1.7690 7.8599 I
-14.7509 1.6240 13.1456 I
-4.3698 1.0378 4.6112 I
-23.4688 3.6945 22.3452 I
-1.4135 -1.8302 2.2599 I
-10.1314 0.2402 11.4596 I
0.0000 0.0000 0.0000 Th
-5.7725 -0.7950 6.8598 Th
-19.1099 2.6593 17.7454 Th
-11.8181 2.8068 12.4711 Th